First-principles (GGA-PBE) data for a relaxed structure of K2CeHg, as listed in the Alexandria database.

## Properties
Total energy = -7.25 eV per formula unit
Formation energy from the elements = 0.296 eV/atom

Structure (extended XYZ):
```
4
Lattice="-0.146 3.446 -1.325 -2.870 2.176 0.825 5.415 6.273 10.569" Properties=species:S:1:pos:R:3 pbc="T T T"
Hg 1.199 5.948 5.034
K 3.598 5.028 7.530
K -1.199 6.868 2.538
Ce 0.000 0.000 0.000
```



First-principles (GGA-PBE) data for a relaxed structure of Sm2Dy2Y6Tm, as listed in the Alexandria database.

## Properties
Total energy = -60.32 eV per formula unit
Formation energy from the elements = 0.143 eV/atom

Structure (extended XYZ):
```
11
Lattice="6.604 -0.613 -0.482 -3.797 5.438 -0.482 -1.899 -3.265 11.391" Properties=species:S:1:pos:R:3 pbc="T T T"
Tm -0.950 -1.632 5.695
Y 0.003 3.660 1.690
Sm -2.405 4.628 -0.482
Y 0.905 -2.100 8.737
Y 0.639 1.099 7.333
Y 3.180 1.811 1.690
Dy -1.694 2.029 5.214
Y 0.268 0.461 3.094
Sm 5.212 0.197 -0.482
Dy 2.601 -0.469 5.214
Y -2.273 -0.251 8.737
```



First-principles (GGA-PBE) data for a relaxed structure of Mg3MnRu, as listed in the Alexandria database.

## Properties
Total energy = -19.90 eV per formula unit
Excess energy over the best structure of this formula in the dataset = 0 meV per atom
Formation energy from the elements = 0.666 eV/atom

Structure (extended XYZ):
```
5
Lattice="-3.929 2.243 1.883 -2.130 -4.351 0.737 2.009 -0.228 4.463" Properties=species:S:1:pos:R:3 pbc="T T T"
Mg 1.005 -0.114 2.232
Mn -2.025 -1.168 3.542
Mg -1.065 -2.175 0.369
Mg -1.964 1.121 0.942
Ru 0.000 0.000 0.000
```



First-principles (GGA-PBE) data for a relaxed structure of NaReHg2, as listed in the Alexandria database.

## Properties
Total energy = -11.28 eV per formula unit
Excess energy over the best structure of this formula in the dataset = 0 meV per atom
Formation energy from the elements = 0.773 eV/atom

Structure (extended XYZ):
```
4
Lattice="-0.467 -3.497 3.304 -0.823 1.139 4.625 -4.319 -0.896 1.978" Properties=species:S:1:pos:R:3 pbc="T T T"
Hg -4.206 -2.440 7.430
Re -2.804 -1.626 4.953
Na 0.000 0.000 0.000
Hg -1.402 -0.813 2.477
```



First-principles (GGA-PBE) data for a relaxed structure of Cu2PRu, as listed in the Alexandria database.

## Properties
Total energy = -23.19 eV per formula unit
Formation energy from the elements = -0.079 eV/atom

Structure (extended XYZ):
```
4
Lattice="-1.536 3.106 -0.486 -0.868 -0.003 2.722 3.905 2.366 2.779" Properties=species:S:1:pos:R:3 pbc="T T T"
Ru 1.358 3.212 3.640
P 1.873 1.288 2.311
Cu 0.018 0.039 0.191
Cu -0.229 2.112 1.623
```



First-principles (GGA-PBE) data for a relaxed structure of Ba8GeAu5, as listed in the Alexandria database.

## Properties
Total energy = -44.70 eV per formula unit
Formation energy from the elements = -0.594 eV/atom

Structure (extended XYZ):
```
14
Lattice="-4.408 -4.689 -6.056 4.271 -5.526 5.415 -5.641 4.908 4.711" Properties=species:S:1:pos:R:3 pbc="T T T"
Ba -0.275 -2.235 5.641
Ge -3.197 -0.254 4.726
Au -1.161 -2.478 -1.483
Ba -0.831 -4.578 1.509
Ba -8.091 -1.688 -1.833
Au -5.025 0.110 -0.673
Ba -4.463 -3.095 -1.433
Au -3.487 -6.033 -3.404
Au -4.134 -4.019 1.760
Ba 2.635 -4.742 3.312
Ba -3.936 -3.482 5.065
Ba -5.986 -0.706 2.420
Ba -2.164 -0.701 1.593
Au -1.540 -7.681 0.498
```



First-principles (GGA-PBE) data for a relaxed structure of Ce4Pr3HoS8, as listed in the Alexandria database.

## Properties
Total energy = -108.07 eV per formula unit

Structure (extended XYZ):
```
16
Lattice="-2.532 -0.485 -7.661 -7.598 -0.968 2.572 4.311 6.390 2.435" Properties=species:S:1:pos:R:3 pbc="T T T"
Pr -5.065 -0.726 -2.544
Pr -2.910 2.468 -1.327
S -1.619 2.651 -3.897
S -7.596 -1.066 -3.881
Ce 0.000 0.000 0.000
S -6.293 -0.817 0.061
Pr -1.644 2.711 2.504
Ce -1.266 -0.243 -3.831
S 1.776 6.003 1.227
S -0.342 2.811 -0.065
Ce 2.155 3.195 1.218
S -5.478 2.126 -2.589
Ce 0.889 2.952 -2.613
S -4.201 2.286 1.244
Ho -3.799 -0.484 1.286
S 0.473 5.753 -2.715
```



First-principles (GGA-PBE) data for a relaxed structure of MnBe3Zn, as listed in the Alexandria database.

## Properties
Total energy = -16.65 eV per formula unit
Excess energy over the best structure of this formula in the dataset = 154 meV per atom
Formation energy from the elements = 0.995 eV/atom

Structure (extended XYZ):
```
5
Lattice="-1.895 -0.440 -3.532 1.514 -3.721 -0.349 -3.222 -1.490 1.914" Properties=species:S:1:pos:R:3 pbc="T T T"
Be -0.948 -0.220 -1.766
Be -1.611 -0.745 0.957
Mn 0.000 0.000 0.000
Be 0.757 -1.861 -0.175
Zn -1.802 -2.826 -0.984
```



First-principles (GGA-PBE) data for a relaxed structure of CdCu4Ru, as listed in the Alexandria database.

## Properties
Total energy = -25.35 eV per formula unit
Formation energy from the elements = 0.203 eV/atom

Structure (extended XYZ):
```
6
Lattice="0.000 3.443 3.443 3.443 0.000 3.443 3.443 3.443 0.000" Properties=species:S:1:pos:R:3 pbc="T T T"
Cu 4.300 4.300 2.586
Cu 4.300 2.586 4.300
Cu 2.586 2.586 2.586
Cd 0.000 0.000 0.000
Cu 2.586 4.300 4.300
Ru 5.164 5.164 5.164
```



First-principles (GGA-PBE) data for a relaxed structure of TlTc3F, as listed in the Alexandria database.

## Properties
Total energy = -23.51 eV per formula unit
Excess energy over the best structure of this formula in the dataset = 1402 meV per atom

Structure (extended XYZ):
```
5
Lattice="-3.750 -2.106 3.060 -1.600 -3.008 -4.031 3.352 -3.792 1.498" Properties=species:S:1:pos:R:3 pbc="T T T"
Tc 1.676 -1.896 0.749
Tc -1.875 -1.053 1.530
F -0.999 -4.453 0.264
Tc -0.800 -1.504 -2.016
Tl 0.000 0.000 0.000
```



First-principles (GGA-PBE) data for a relaxed structure of Tb5Al2Sb, as listed in the Alexandria database.

## Properties
Total energy = -38.83 eV per formula unit

Structure (extended XYZ):
```
16
Lattice="7.465 0.000 -3.524 -1.663 7.277 -3.524 -0.500 -0.628 8.609" Properties=species:S:1:pos:R:3 pbc="T T T"
Tb 2.317 4.611 1.833
Tb 6.414 3.364 -2.675
Al 1.274 6.280 -4.320
Tb 0.000 0.000 0.000
Sb 1.200 1.506 2.543
Al 5.383 4.636 -5.286
Tb 0.794 5.678 -1.392
Tb 4.507 0.972 2.954
Tb -1.113 3.286 4.237
Tb 2.901 3.639 -3.524
Tb 2.985 2.039 -0.272
Tb 4.224 7.003 -3.796
Al 0.419 2.642 -1.762
Sb 4.101 5.144 -0.981
Tb 1.078 -0.353 5.357
Al 4.527 0.997 -2.728
```



First-principles (GGA-PBE) data for a relaxed structure of PrTlPd2, as listed in the Alexandria database.

## Properties
Total energy = -19.94 eV per formula unit
Formation energy from the elements = -0.603 eV/atom

Structure (extended XYZ):
```
8
Lattice="-1.081 -2.036 -3.757 5.161 -2.311 -0.232 -2.390 -5.718 3.786" Properties=species:S:1:pos:R:3 pbc="T T T"
Tl 1.837 -6.324 0.312
Pd 2.040 -2.174 -1.995
Pr 3.246 -3.229 0.816
Pr -0.475 -4.801 2.738
Pd 0.943 -1.409 0.492
Pd -0.540 -1.018 -1.879
Pd 1.828 -6.621 3.061
Tl -0.147 -3.742 -0.516
```



First-principles (GGA-PBE) data for a relaxed structure of LiFeIr, as listed in the Alexandria database.

## Properties
Total energy = -19.35 eV per formula unit
Excess energy over the best structure of this formula in the dataset = 0 meV per atom
Formation energy from the elements = -0.038 eV/atom

Structure (extended XYZ):
```
6
Lattice="-5.384 0.738 0.389 -2.032 -4.127 -0.712 1.079 -3.768 2.510" Properties=species:S:1:pos:R:3 pbc="T T T"
Fe -1.414 -3.636 1.771
Fe -4.106 -3.267 1.966
Ir -2.813 -2.514 -0.136
Li -5.823 -4.783 0.660
Ir -3.127 -5.116 0.457
Li -5.500 -2.109 0.051
```



First-principles (GGA-PBE) data for a relaxed structure of Np2IrRu, as listed in the Alexandria database.

## Properties
Total energy = -44.50 eV per formula unit
Formation energy from the elements = -0.121 eV/atom

Structure (extended XYZ):
```
4
Lattice="3.398 0.000 0.000 0.000 4.791 0.000 0.000 0.000 4.791" Properties=species:S:1:pos:R:3 pbc="T T T"
Ir 1.699 0.000 0.000
Np 0.000 0.000 2.396
Ru 1.699 2.396 2.396
Np 0.000 2.396 0.000
```



First-principles (GGA-PBE) data for a relaxed structure of Cs2PaSb2S6, as listed in the Alexandria database.

## Properties
Total energy = -54.75 eV per formula unit

Structure (extended XYZ):
```
11
Lattice="-6.101 -0.312 -3.598 5.112 -4.732 -1.319 -2.779 -3.220 7.429" Properties=species:S:1:pos:R:3 pbc="T T T"
Sb -3.765 -3.390 0.874
S -0.266 -4.024 4.307
S -2.615 -5.915 1.397
S 0.168 -5.685 -1.049
Cs -4.189 -1.065 -3.209
S -3.502 -4.239 -1.795
Pa -1.389 -1.610 3.714
Sb -0.002 -4.873 1.638
Cs 3.200 -3.978 -1.708
S -3.935 -2.578 3.561
S -1.152 -2.349 1.115
```



First-principles (GGA-PBE) data for a relaxed structure of Si2SbPb, as listed in the Alexandria database.

## Properties
Total energy = -16.29 eV per formula unit
Excess energy over the best structure of this formula in the dataset = 332 meV per atom

Structure (extended XYZ):
```
4
Lattice="6.009 -0.046 0.000 3.076 5.162 0.000 -4.542 -2.558 2.988" Properties=species:S:1:pos:R:3 pbc="T T T"
Sb 3.004 -0.023 1.494
Si 0.000 0.000 0.000
Pb 4.542 2.558 0.000
Si 1.538 2.581 1.494
```



First-principles (GGA-PBE) data for a relaxed structure of LaCuCl4, as listed in the Alexandria database.

## Properties
Total energy = -26.67 eV per formula unit
Excess energy over the best structure of this formula in the dataset = 0 meV per atom

Structure (extended XYZ):
```
12
Lattice="-0.382 3.858 6.489 -5.901 1.125 -4.588 0.108 -7.350 1.759" Properties=species:S:1:pos:R:3 pbc="T T T"
Cl -5.627 -0.256 -2.108
Cl -4.335 -3.985 -1.832
Cl -5.430 2.293 0.791
Cu -3.141 2.491 0.951
Cl -3.166 -2.740 3.603
La 0.000 0.000 0.000
Cl -1.772 -5.169 0.808
Cl -2.178 -1.668 -0.779
Cu -4.467 -1.867 -0.939
La -1.708 -0.501 4.599
Cl -5.729 -1.557 0.963
Cl -1.982 0.881 2.119
```



First-principles (GGA-PBE) data for a relaxed structure of ZrBiSbO6, as listed in the Alexandria database.

## Properties
Total energy = -64.15 eV per formula unit

Structure (extended XYZ):
```
18
Lattice="5.494 0.000 0.000 -2.747 4.758 0.000 0.000 0.000 9.895" Properties=species:S:1:pos:R:3 pbc="T T T"
O -0.753 4.686 6.317
Zr 2.747 1.586 7.421
Bi 0.000 0.000 0.000
Bi 0.000 0.000 4.947
O 1.687 3.067 6.317
O 1.060 1.691 3.578
O 1.813 2.995 1.370
O 4.434 1.691 1.370
O -0.934 1.763 6.317
O -1.687 3.067 8.525
Sb 2.747 1.586 2.474
O 1.994 0.072 1.370
Sb 0.000 3.172 7.421
O 0.934 1.763 8.525
O 0.753 4.686 8.525
O 3.681 2.995 3.578
Zr 0.000 3.172 2.474
O 3.500 0.072 3.578
```



First-principles (GGA-PBE) data for a relaxed structure of KScTc, as listed in the Alexandria database.

## Properties
Total energy = -14.79 eV per formula unit
Excess energy over the best structure of this formula in the dataset = 361 meV per atom
Formation energy from the elements = 1.002 eV/atom

Structure (extended XYZ):
```
3
Lattice="-4.567 0.416 -2.503 0.161 -1.988 4.829 -0.340 2.484 1.034" Properties=species:S:1:pos:R:3 pbc="T T T"
Tc -1.642 0.469 3.074
Sc -3.047 0.027 0.112
K -0.057 0.418 0.174
```



First-principles (GGA-PBE) data for a relaxed structure of Mg2HgAs, as listed in the Alexandria database.

## Properties
Total energy = -9.12 eV per formula unit
Excess energy over the best structure of this formula in the dataset = 123 meV per atom
Formation energy from the elements = -0.246 eV/atom

Structure (extended XYZ):
```
4
Lattice="3.716 0.000 0.000 0.000 3.302 0.051 0.000 3.329 6.739" Properties=species:S:1:pos:R:3 pbc="T T T"
As 1.858 1.658 1.698
Hg 1.858 4.974 5.093
Mg 0.000 3.294 0.164
Mg 0.000 3.324 3.283
```



First-principles (GGA-PBE) data for a relaxed structure of Cs2Pd2N, as listed in the Alexandria database.

## Properties
Total energy = -13.91 eV per formula unit

Structure (extended XYZ):
```
10
Lattice="8.340 0.000 0.000 0.000 8.340 0.000 0.000 0.000 4.609" Properties=species:S:1:pos:R:3 pbc="T T T"
Pd 0.922 5.092 2.305
N 0.000 0.000 0.000
Pd 7.418 3.248 2.305
N 4.170 4.170 0.000
Cs 5.864 1.694 0.000
Pd 5.092 7.418 2.305
Cs 2.476 6.646 0.000
Pd 3.248 0.922 2.305
Cs 6.646 5.864 0.000
Cs 1.694 2.476 0.000
```



First-principles (GGA-PBE) data for a relaxed structure of Ac4Pt2RhAu, as listed in the Alexandria database.

## Properties
Total energy = -46.71 eV per formula unit
Formation energy from the elements = -0.946 eV/atom

Structure (extended XYZ):
```
8
Lattice="-2.294 2.988 -2.246 -4.193 1.447 6.208 3.335 5.608 4.051" Properties=species:S:1:pos:R:3 pbc="T T T"
Ac 0.392 6.129 3.470
Ac -2.544 4.695 0.279
Ac -0.608 5.347 7.733
Pt 0.520 4.298 0.903
Pt 3.335 5.608 4.051
Rh -3.244 2.217 1.981
Au -0.429 3.528 5.130
Ac -3.544 3.913 4.543
```



First-principles (GGA-PBE) data for a relaxed structure of Ba3CaI6Br2, as listed in the Alexandria database.

## Properties
Total energy = -42.07 eV per formula unit

Structure (extended XYZ):
```
12
Lattice="-3.635 -4.223 -4.777 0.886 -7.652 6.090 -7.357 6.303 1.072" Properties=species:S:1:pos:R:3 pbc="T T T"
Ca -1.817 -2.112 -2.389
Ba -5.496 1.040 -1.852
I -2.927 -0.360 -0.026
I -3.655 -4.558 -1.456
I -3.188 -8.596 1.758
Br -2.813 -4.120 3.150
Br -7.293 -1.453 -0.764
Ba -5.053 -2.786 1.193
I -6.451 -1.015 3.842
Ba 0.443 -3.826 3.045
I -7.179 -5.213 2.411
I -6.918 3.024 0.627
```



First-principles (GGA-PBE) data for a relaxed structure of La2Ga3PPt4, as listed in the Alexandria database.

## Properties
Total energy = -58.49 eV per formula unit
Formation energy from the elements = -0.998 eV/atom

Structure (extended XYZ):
```
10
Lattice="4.401 0.000 0.000 0.000 4.401 0.000 0.000 0.000 10.058" Properties=species:S:1:pos:R:3 pbc="T T T"
P 2.200 2.200 5.029
La 2.200 0.000 2.591
Pt 0.000 0.000 0.000
Pt 2.200 2.200 0.000
Ga 0.000 0.000 5.029
Ga 0.000 2.200 1.314
Pt 2.200 0.000 6.218
La 0.000 2.200 7.466
Ga 2.200 0.000 8.744
Pt 0.000 2.200 3.840
```